Material: CuBiF3
Method: DFT, PBEsol
State: optimized geometry

a b c (Å): 4.526 4.526 4.526
angles (deg): 90.00 90.00 90.00
Sites, in units of the cell vectors:
Cu: 0.000 0.000 0.000
Bi: 0.500 0.500 0.500
F: 0.000 0.500 0.500
F: 0.500 0.000 0.500
F: 0.500 0.500 0.000

Results
DFT total energy   -20.335 eV/cell
Volume   18.5 A^3/atom

Material: Sr3Sn13Ir4
Method: DFT, PBEsol
State: optimized geometry

a b c (Å): 9.778 9.778 9.778
angles (deg): 90.00 90.00 90.00
Sites, in units of the cell vectors:
Sr: 0.000 0.250 0.500
Sr: 0.000 0.750 0.500
Sr: 0.250 0.500 0.000
Sr: 0.500 0.000 0.250
Sr: 0.500 0.000 0.750
Sr: 0.750 0.500 0.000
Sn: 0.000 0.000 0.000
Sn: 0.000 0.301 0.152
Sn: 0.000 0.301 0.848
Sn: 0.000 0.699 0.152
Sn: 0.000 0.699 0.848
Sn: 0.152 0.000 0.301
Sn: 0.152 0.000 0.699
Sn: 0.199 0.500 0.348
Sn: 0.199 0.500 0.652
Sn: 0.301 0.152 0.000
Sn: 0.301 0.848 0.000
Sn: 0.348 0.199 0.500
Sn: 0.348 0.801 0.500
Sn: 0.500 0.348 0.199
Sn: 0.500 0.348 0.801
Sn: 0.500 0.500 0.500
Sn: 0.500 0.652 0.199
Sn: 0.500 0.652 0.801
Sn: 0.652 0.199 0.500
Sn: 0.652 0.801 0.500
Sn: 0.699 0.152 0.000
Sn: 0.699 0.848 0.000
Sn: 0.801 0.500 0.348
Sn: 0.801 0.500 0.652
Sn: 0.848 0.000 0.301
Sn: 0.848 0.000 0.699
Ir: 0.250 0.250 0.250
Ir: 0.250 0.250 0.750
Ir: 0.250 0.750 0.250
Ir: 0.250 0.750 0.750
Ir: 0.750 0.250 0.250
Ir: 0.750 0.250 0.750
Ir: 0.750 0.750 0.250
Ir: 0.750 0.750 0.750

Results
DFT total energy   -219.756 eV/cell
Volume   23.4 A^3/atom

Material: PbAu2Br
Method: DFT, PBEsol
State: optimized geometry

a b c (Å): 3.942 3.942 5.837
angles (deg): 90.00 90.00 90.00
Sites, in units of the cell vectors:
Pb: 0.000 0.000 0.000
Au: 0.500 0.500 0.240
Au: 0.500 0.500 0.760
Br: 0.000 0.000 0.500

Results
DFT total energy   -13.221 eV/cell
Volume   22.7 A^3/atom

Material: SmTm3
Method: DFT, PBEsol
State: optimized geometry

a b c (Å): 4.879 4.879 4.879
angles (deg): 90.00 90.00 90.00
Sites, in units of the cell vectors:
Sm: 0.000 0.000 0.000
Tm: 0.000 0.500 0.500
Tm: 0.500 0.000 0.500
Tm: 0.500 0.500 0.000

Results
DFT total energy   -19.715 eV/cell
Volume   29.0 A^3/atom

Question: volume of number 3 (PbAu2Br)?
Answer: 22.7 A^3/atom